Entry 1:
A relaxed La2MgPdPb crystal. Source: Alexandria, functional PBE.

CIF file:
```
data_La2MgPdPb
_space_group_name_H-M_alt 'P 4/m m m'
_space_group_IT_number 123
_space_group_name_Hall '-P 4 2'
_cell_length_a 5.588
_cell_length_b 5.588
_cell_length_c 5.052
_cell_angle_alpha 90.00
_cell_angle_beta 90.00
_cell_angle_gamma 90.00
loop_
_atom_site_label
_atom_site_type_symbol
_atom_site_fract_x
_atom_site_fract_y
_atom_site_fract_z
La1 La 0.000 0.500 0.000
Mg1 Mg 0.000 0.000 0.500
Pd1 Pd 0.000 0.000 0.000
Pb1 Pb 0.500 0.500 0.500
```

Formation energy in eV/f.u.: -2.26
Magnetization in Bohr magnetons per cell: 0.000

Entry 2:
A relaxed LaMg2PdPb crystal. Source: Alexandria, functional PBE.

CIF file:
```
data_LaMg2PdPb
_space_group_name_H-M_alt 'P 4/m m m'
_space_group_IT_number 123
_space_group_name_Hall '-P 4 2'
_cell_length_a 5.073
_cell_length_b 5.073
_cell_length_c 5.474
_cell_angle_alpha 90.00
_cell_angle_beta 90.00
_cell_angle_gamma 90.00
loop_
_atom_site_label
_atom_site_type_symbol
_atom_site_fract_x
_atom_site_fract_y
_atom_site_fract_z
La1 La 0.000 0.000 0.000
Mg1 Mg 0.000 0.500 0.500
Pd1 Pd 0.000 0.000 0.500
Pb1 Pb 0.500 0.500 0.000
```

Formation energy in eV/f.u.: -1.97
Magnetization in Bohr magnetons per cell: 0.000

Entry 3:
A relaxed LaMgPdPb crystal. Source: Alexandria, functional PBE.

CIF file:
```
data_LaMgPdPb
_space_group_name_H-M_alt 'F -4 3 m'
_space_group_IT_number 216
_space_group_name_Hall 'F -4 2 3'
_cell_length_a 7.341
_cell_length_b 7.341
_cell_length_c 7.341
_cell_angle_alpha 90.00
_cell_angle_beta 90.00
_cell_angle_gamma 90.00
loop_
_atom_site_label
_atom_site_type_symbol
_atom_site_fract_x
_atom_site_fract_y
_atom_site_fract_z
La1 La 0.000 0.000 0.000
Mg1 Mg 0.000 0.000 0.500
Pd1 Pd 0.250 0.250 0.750
Pb1 Pb 0.250 0.250 0.250
```

Formation energy in eV/f.u.: -1.98
Magnetization in Bohr magnetons per cell: 0.000

Entry 4:
A relaxed LaPmMgPb crystal. Source: Alexandria, functional PBE.

CIF file:
```
data_LaPmMgPb
_space_group_name_H-M_alt 'F -4 3 m'
_space_group_IT_number 216
_space_group_name_Hall 'F -4 2 3'
_cell_length_a 7.842
_cell_length_b 7.842
_cell_length_c 7.842
_cell_angle_alpha 90.00
_cell_angle_beta 90.00
_cell_angle_gamma 90.00
loop_
_atom_site_label
_atom_site_type_symbol
_atom_site_fract_x
_atom_site_fract_y
_atom_site_fract_z
La1 La 0.000 0.000 0.000
Pm1 Pm 0.000 0.000 0.500
Mg1 Mg 0.250 0.250 0.250
Pb1 Pb 0.250 0.250 0.750
```

Formation energy in eV/f.u.: -1.39
Magnetization in Bohr magnetons per cell: 0.001

Entry 5:
A relaxed LaMg2PtPb crystal. Source: Alexandria, functional PBE.

CIF file:
```
data_LaMg2PtPb
_space_group_name_H-M_alt 'P 4/m m m'
_space_group_IT_number 123
_space_group_name_Hall '-P 4 2'
_cell_length_a 5.101
_cell_length_b 5.101
_cell_length_c 5.480
_cell_angle_alpha 90.00
_cell_angle_beta 90.00
_cell_angle_gamma 90.00
loop_
_atom_site_label
_atom_site_type_symbol
_atom_site_fract_x
_atom_site_fract_y
_atom_site_fract_z
La1 La 0.000 0.000 0.000
Mg1 Mg 0.000 0.500 0.500
Pt1 Pt 0.000 0.000 0.500
Pb1 Pb 0.500 0.500 0.000
```

Formation energy in eV/f.u.: -2.67
Magnetization in Bohr magnetons per cell: 0.000

Entry 6:
A relaxed La2MgPtPb crystal. Source: Alexandria, functional PBE.

CIF file:
```
data_La2MgPtPb
_space_group_name_H-M_alt 'P 4/m m m'
_space_group_IT_number 123
_space_group_name_Hall '-P 4 2'
_cell_length_a 5.603
_cell_length_b 5.603
_cell_length_c 5.080
_cell_angle_alpha 90.00
_cell_angle_beta 90.00
_cell_angle_gamma 90.00
loop_
_atom_site_label
_atom_site_type_symbol
_atom_site_fract_x
_atom_site_fract_y
_atom_site_fract_z
La1 La 0.000 0.500 0.000
Mg1 Mg 0.000 0.000 0.500
Pt1 Pt 0.000 0.000 0.000
Pb1 Pb 0.500 0.500 0.500
```

Formation energy in eV/f.u.: -3.13
Magnetization in Bohr magnetons per cell: 0.000

Entry 7:
A relaxed LaPuMgPb crystal. Source: Alexandria, functional PBE.

CIF file:
```
data_LaPuMgPb
_space_group_name_H-M_alt 'F -4 3 m'
_space_group_IT_number 216
_space_group_name_Hall 'F -4 2 3'
_cell_length_a 7.820
_cell_length_b 7.820
_cell_length_c 7.820
_cell_angle_alpha 90.00
_cell_angle_beta 90.00
_cell_angle_gamma 90.00
loop_
_atom_site_label
_atom_site_type_symbol
_atom_site_fract_x
_atom_site_fract_y
_atom_site_fract_z
La1 La 0.000 0.000 0.000
Pu1 Pu 0.000 0.000 0.500
Mg1 Mg 0.250 0.250 0.250
Pb1 Pb 0.250 0.250 0.750
```

Formation energy in eV/f.u.: -0.58
Magnetization in Bohr magnetons per cell: 27.600

Entry 8:
A relaxed LaMg2RuPb crystal. Source: Alexandria, functional PBE.

CIF file:
```
data_LaMg2RuPb
_space_group_name_H-M_alt 'P 4/m m m'
_space_group_IT_number 123
_space_group_name_Hall '-P 4 2'
_cell_length_a 5.231
_cell_length_b 5.231
_cell_length_c 5.229
_cell_angle_alpha 90.00
_cell_angle_beta 90.00
_cell_angle_gamma 90.00
loop_
_atom_site_label
_atom_site_type_symbol
_atom_site_fract_x
_atom_site_fract_y
_atom_site_fract_z
La1 La 0.000 0.000 0.000
Mg1 Mg 0.000 0.500 0.500
Ru1 Ru 0.500 0.500 0.000
Pb1 Pb 0.500 0.500 0.500
```

Formation energy in eV/f.u.: 2.96
Magnetization in Bohr magnetons per cell: 0.263

Entry 9:
A relaxed LaMgScPb crystal. Source: Alexandria, functional PBE.

CIF file:
```
data_LaMgScPb
_space_group_name_H-M_alt 'F -4 3 m'
_space_group_IT_number 216
_space_group_name_Hall 'F -4 2 3'
_cell_length_a 7.583
_cell_length_b 7.583
_cell_length_c 7.583
_cell_angle_alpha 90.00
_cell_angle_beta 90.00
_cell_angle_gamma 90.00
loop_
_atom_site_label
_atom_site_type_symbol
_atom_site_fract_x
_atom_site_fract_y
_atom_site_fract_z
La1 La 0.000 0.000 0.000
Mg1 Mg 0.250 0.250 0.250
Sc1 Sc 0.000 0.000 0.500
Pb1 Pb 0.250 0.250 0.750
```

Formation energy in eV/f.u.: -1.09
Magnetization in Bohr magnetons per cell: 0.005

Entry 10:
A relaxed LaMg2SnPb crystal. Source: Alexandria, functional PBE.

CIF file:
```
data_LaMg2SnPb
_space_group_name_H-M_alt 'C m c m'
_space_group_IT_number 63
_space_group_name_Hall '-C 2c 2'
_cell_length_a 4.625
_cell_length_b 16.201
_cell_length_c 7.873
_cell_angle_alpha 90.00
_cell_angle_beta 90.00
_cell_angle_gamma 90.00
loop_
_atom_site_label
_atom_site_type_symbol
_atom_site_fract_x
_atom_site_fract_y
_atom_site_fract_z
La1 La 0.000 0.095 0.250
Mg1 Mg 0.000 0.324 0.060
Sn1 Sn 0.000 0.233 0.750
Pb1 Pb 0.000 0.500 0.000
```

Formation energy in eV/f.u.: -1.44
Magnetization in Bohr magnetons per cell: 0.000

Entry 11:
A relaxed LaMgSnPb crystal. Source: Alexandria, functional PBE.

CIF file:
```
data_LaMgSnPb
_space_group_name_H-M_alt 'P m m m'
_space_group_IT_number 47
_cell_length_a 4.632
_cell_length_b 4.891
_cell_length_c 4.916
_cell_angle_alpha 90.00
_cell_angle_beta 90.00
_cell_angle_gamma 90.00
loop_
_space_group_symop_operation_xyz
'x,y,z'
'-x,-y,-z'
'-x,-y,z'
'x,y,-z'
'x,-y,-z'
'-x,y,z'
'-x,y,-z'
'x,-y,z'
loop_
_atom_site_label
_atom_site_type_symbol
_atom_site_fract_x
_atom_site_fract_y
_atom_site_fract_z
La1 La 0.000 0.000 0.000
Mg1 Mg 0.000 0.500 0.500
Sn1 Sn 0.500 0.500 0.000
Pb1 Pb 0.500 0.000 0.500
```

Formation energy in eV/f.u.: -1.98
Offset from the most stable computed form in meV/atom: 0
Magnetization in Bohr magnetons per cell: 0.000

Entry 12:
A relaxed La2MgSnPb crystal. Source: Alexandria, functional PBE.

CIF file:
```
data_La2MgSnPb
_space_group_name_H-M_alt 'P 4/m m m'
_space_group_IT_number 123
_space_group_name_Hall '-P 4 2'
_cell_length_a 5.801
_cell_length_b 5.801
_cell_length_c 5.178
_cell_angle_alpha 90.00
_cell_angle_beta 90.00
_cell_angle_gamma 90.00
loop_
_atom_site_label
_atom_site_type_symbol
_atom_site_fract_x
_atom_site_fract_y
_atom_site_fract_z
La1 La 0.000 0.500 0.000
Mg1 Mg 0.000 0.000 0.000
Sn1 Sn 0.500 0.500 0.500
Pb1 Pb 0.000 0.000 0.500
```

Formation energy in eV/f.u.: 1.02
Magnetization in Bohr magnetons per cell: 0.000

Entry 13:
A relaxed LaMgSnPb crystal. Source: Alexandria, functional PBE.

CIF file:
```
data_LaMgSnPb
_space_group_name_H-M_alt 'F -4 3 m'
_space_group_IT_number 216
_space_group_name_Hall 'F -4 2 3'
_cell_length_a 7.686
_cell_length_b 7.686
_cell_length_c 7.686
_cell_angle_alpha 90.00
_cell_angle_beta 90.00
_cell_angle_gamma 90.00
loop_
_atom_site_label
_atom_site_type_symbol
_atom_site_fract_x
_atom_site_fract_y
_atom_site_fract_z
La1 La 0.000 0.000 0.000
Mg1 Mg 0.000 0.000 0.500
Sn1 Sn 0.250 0.250 0.750
Pb1 Pb 0.250 0.250 0.250
```

Formation energy in eV/f.u.: -1.41
Offset from the most stable computed form in meV/atom: 141
Magnetization in Bohr magnetons per cell: 0.000

Entry 14:
A relaxed SrLaMgPb crystal. Source: Alexandria, functional PBE.

CIF file:
```
data_SrLaMgPb
_space_group_name_H-M_alt 'F -4 3 m'
_space_group_IT_number 216
_space_group_name_Hall 'F -4 2 3'
_cell_length_a 8.079
_cell_length_b 8.079
_cell_length_c 8.079
_cell_angle_alpha 90.00
_cell_angle_beta 90.00
_cell_angle_gamma 90.00
loop_
_atom_site_label
_atom_site_type_symbol
_atom_site_fract_x
_atom_site_fract_y
_atom_site_fract_z
Sr1 Sr 0.000 0.000 0.000
La1 La 0.000 0.000 0.500
Mg1 Mg 0.250 0.250 0.250
Pb1 Pb 0.250 0.250 0.750
```

Formation energy in eV/f.u.: -1.29
Magnetization in Bohr magnetons per cell: 0.015

Entry 15:
A relaxed La2MgTaPb crystal. Source: Alexandria, functional PBE.

CIF file:
```
data_La2MgTaPb
_space_group_name_H-M_alt 'P 4/m m m'
_space_group_IT_number 123
_space_group_name_Hall '-P 4 2'
_cell_length_a 5.641
_cell_length_b 5.641
_cell_length_c 5.533
_cell_angle_alpha 90.00
_cell_angle_beta 90.00
_cell_angle_gamma 90.00
loop_
_atom_site_label
_atom_site_type_symbol
_atom_site_fract_x
_atom_site_fract_y
_atom_site_fract_z
La1 La 0.000 0.500 0.000
Mg1 Mg 0.000 0.000 0.500
Ta1 Ta 0.500 0.500 0.000
Pb1 Pb 0.500 0.500 0.500
```

Formation energy in eV/f.u.: 1.97
Magnetization in Bohr magnetons per cell: 0.000

Entry 16:
A relaxed LaTbMgPb crystal. Source: Alexandria, functional PBE.

CIF file:
```
data_LaTbMgPb
_space_group_name_H-M_alt 'F -4 3 m'
_space_group_IT_number 216
_space_group_name_Hall 'F -4 2 3'
_cell_length_a 7.775
_cell_length_b 7.775
_cell_length_c 7.775
_cell_angle_alpha 90.00
_cell_angle_beta 90.00
_cell_angle_gamma 90.00
loop_
_atom_site_label
_atom_site_type_symbol
_atom_site_fract_x
_atom_site_fract_y
_atom_site_fract_z
La1 La 0.000 0.000 0.000
Tb1 Tb 0.000 0.000 0.500
Mg1 Mg 0.250 0.250 0.750
Pb1 Pb 0.250 0.250 0.250
```

Formation energy in eV/f.u.: -1.31
Magnetization in Bohr magnetons per cell: 0.000

Entry 17:
A relaxed LaThMgPb crystal. Source: Alexandria, functional PBE.

CIF file:
```
data_LaThMgPb
_space_group_name_H-M_alt 'F -4 3 m'
_space_group_IT_number 216
_space_group_name_Hall 'F -4 2 3'
_cell_length_a 7.885
_cell_length_b 7.885
_cell_length_c 7.885
_cell_angle_alpha 90.00
_cell_angle_beta 90.00
_cell_angle_gamma 90.00
loop_
_atom_site_label
_atom_site_type_symbol
_atom_site_fract_x
_atom_site_fract_y
_atom_site_fract_z
La1 La 0.000 0.000 0.000
Th1 Th 0.000 0.000 0.500
Mg1 Mg 0.250 0.250 0.750
Pb1 Pb 0.250 0.250 0.250
```

Formation energy in eV/f.u.: -0.63
Magnetization in Bohr magnetons per cell: 0.002

Entry 18:
A relaxed LaMgTlPb crystal. Source: Alexandria, functional PBE.

CIF file:
```
data_LaMgTlPb
_space_group_name_H-M_alt 'F -4 3 m'
_space_group_IT_number 216
_space_group_name_Hall 'F -4 2 3'
_cell_length_a 7.717
_cell_length_b 7.717
_cell_length_c 7.717
_cell_angle_alpha 90.00
_cell_angle_beta 90.00
_cell_angle_gamma 90.00
loop_
_atom_site_label
_atom_site_type_symbol
_atom_site_fract_x
_atom_site_fract_y
_atom_site_fract_z
La1 La 0.000 0.000 0.000
Mg1 Mg 0.000 0.000 0.500
Tl1 Tl 0.250 0.250 0.250
Pb1 Pb 0.250 0.250 0.750
```

Formation energy in eV/f.u.: -1.25
Offset from the most stable computed form in meV/atom: 78
Magnetization in Bohr magnetons per cell: 0.000

Entry 19:
A relaxed LaMgTlPb crystal. Source: Alexandria, functional PBE.

CIF file:
```
data_LaMgTlPb
_space_group_name_H-M_alt 'P m m m'
_space_group_IT_number 47
_cell_length_a 4.629
_cell_length_b 4.894
_cell_length_c 5.040
_cell_angle_alpha 90.00
_cell_angle_beta 90.00
_cell_angle_gamma 90.00
loop_
_space_group_symop_operation_xyz
'x,y,z'
'-x,-y,-z'
'-x,-y,z'
'x,y,-z'
'x,-y,-z'
'-x,y,z'
'-x,y,-z'
'x,-y,z'
loop_
_atom_site_label
_atom_site_type_symbol
_atom_site_fract_x
_atom_site_fract_y
_atom_site_fract_z
La1 La 0.000 0.000 0.000
Mg1 Mg 0.000 0.500 0.500
Tl1 Tl 0.500 0.000 0.500
Pb1 Pb 0.500 0.500 0.000
```

Formation energy in eV/f.u.: -1.56
Offset from the most stable computed form in meV/atom: 0
Magnetization in Bohr magnetons per cell: 0.000

Entry 20:
A relaxed La2Mg5Tl3Pb2 crystal. Source: Alexandria, functional PBE.

CIF file:
```
data_La2Mg5Tl3Pb2
_space_group_name_H-M_alt 'I 4/m m m'
_space_group_IT_number 139
_space_group_name_Hall '-I 4 2'
_cell_length_a 4.625
_cell_length_b 4.625
_cell_length_c 35.068
_cell_angle_alpha 90.00
_cell_angle_beta 90.00
_cell_angle_gamma 90.00
loop_
_atom_site_label
_atom_site_type_symbol
_atom_site_fract_x
_atom_site_fract_y
_atom_site_fract_z
La1 La 0.000 0.000 0.212
Mg1 Mg 0.000 0.000 0.000
Mg2 Mg 0.000 0.500 0.135
Tl1 Tl 0.000 0.000 0.308
Tl2 Tl 0.000 0.000 0.500
Pb1 Pb 0.000 0.000 0.081
```

Formation energy in eV/f.u.: -0.81
Magnetization in Bohr magnetons per cell: 0.170